This record from Alexandria describes crystalline Sr2CaH3 at its relaxed geometry. The functional is PBE.

crystal system = monoclinic
total DFT energy (no corrections) = -35.37 eV per cell

abc: 4.0710 7.1172 10.7493
angles: 79.87 79.08 73.38
With the nearest neighbours (Å) after each atom.
Element x y z (fractional)
1 H 0.6826 0.3508 0.2839  1 Ca 2.30, 3 Sr 2.47-2.55
2 Sr 0.8307 0.7588 0.5798  7 H 2.49-2.55
3 Sr 0.4855 0.2843 0.7447  4 H 2.46-2.47
4 H 0.3379 0.8707 0.4535  4 Sr 2.46-2.51
5 Ca 0.1660 0.7538 0.9142  1 H 2.30
6 Sr 0.1693 0.2412 0.4202  7 H 2.49-2.55
7 Sr 0.5145 0.7157 0.2553  4 H 2.46-2.47
8 Ca 0.8340 0.2462 0.0858  1 H 2.30
9 H 0.6621 0.1293 0.5465  4 Sr 2.46-2.51
10 H 0.0065 0.6103 0.3768  4 Sr 2.46-2.50
11 H 0.9935 0.3897 0.6232  4 Sr 2.46-2.50
12 H 0.3174 0.6492 0.7161  1 Ca 2.30, 3 Sr 2.47-2.55